VASP calculation (GGA-PBE) on a geometry-optimized VInBr3 structure.

Cell and atoms, written as CIF:
```
data_VInBr3
_chemical_formula_sum 'V1 In1 Br3'
_symmetry_space_group_name_H-M 'P m -3 m'
_symmetry_Int_Tables_number 221
_symmetry_space_group_name_Hall '-P 4 2 3'
_cell_length_a 5.262
_cell_length_b 5.262
_cell_length_c 5.262
_cell_angle_alpha 90.00
_cell_angle_beta 90.00
_cell_angle_gamma 90.00
loop_
_atom_site_label
_atom_site_fract_x
_atom_site_fract_y
_atom_site_fract_z
V1 0.000 0.000 0.000
In1 0.500 0.500 0.500
Br1 0.000 0.000 0.500
```

Results
* total magnetic moment: 3.0 μB per formula unit
* E_form (uncorrected): -0.625 eV per atom
* crystal system: cubic